Record 1
Entry from the Alexandria database: an optimized crystal structure of HfV3W (PBE-GGA).

* polymorph energy (0 for the lowest one): 0 meV per atom

Lattice parameters (Å, degrees): 4.884 4.907 7.431 90.00 109.18 90.00
Atoms (fractional coordinates):
1 W 0.558 0.250 0.115
2 V 0.000 0.500 0.000
3 V 0.000 0.000 0.000
4 V 0.137 0.250 0.746
5 V 0.609 0.250 0.746
6 Hf 0.811 0.750 0.622
7 V 0.863 0.750 0.254
8 V 0.391 0.750 0.254
9 W 0.442 0.750 0.885
10 Hf 0.189 0.250 0.378

Record 2
Entry from the Alexandria database: an optimized crystal structure of Tb3Y2Ho6Er (PBE-GGA).

Lattice parameters (Å, degrees): 6.129 6.129 11.730 94.97 94.97 119.95
Atoms (fractional coordinates):
1 Ho 0.584 0.917 0.750
2 Y 0.333 0.667 0.000
3 Tb 0.833 0.167 0.500
4 Y 0.667 0.333 0.000
5 Tb 0.500 0.500 0.500
6 Ho 0.249 0.249 0.750
7 Ho 0.917 0.584 0.750
8 Ho 0.083 0.416 0.250
9 Ho 0.416 0.083 0.250
10 Tb 0.167 0.833 0.500
11 Er 0.000 0.000 0.000
12 Ho 0.751 0.751 0.250

Record 3
Entry from the Alexandria database: an optimized crystal structure of CrCdOs3 (PBE-GGA).

* polymorph energy (0 for the lowest one): 0 meV per atom

Lattice parameters (Å, degrees): 4.481 4.481 4.481 90.00 90.00 90.00
Atoms (fractional coordinates):
1 Os 0.000 0.000 0.500
2 Os 0.500 0.000 0.000
3 Cd 0.500 0.500 0.500
4 Os 0.000 0.500 0.000
5 Cr 0.000 0.000 0.000

Record 4
Entry from the Alexandria database: an optimized crystal structure of TlZnIn2Ir (PBE-GGA).

Lattice parameters (Å, degrees): 5.177 5.177 4.966 90.00 90.00 90.00
Atoms (fractional coordinates):
1 Zn 0.000 0.000 0.500
2 In 0.000 0.500 0.000
3 Ir 0.000 0.000 0.000
4 In 0.500 0.000 0.000
5 Tl 0.500 0.500 0.500

Record 5
Entry from the Alexandria database: an optimized crystal structure of Cd5Hg4Bi2 (PBE-GGA).

Lattice parameters (Å, degrees): 3.438 8.193 11.341 115.27 90.00 90.00
Atoms (fractional coordinates):
1 Cd 0.000 0.916 0.117
2 Cd 0.000 0.522 0.638
3 Hg 0.500 0.252 0.130
4 Cd 0.000 0.084 0.883
5 Cd 0.000 0.500 0.000
6 Bi 0.000 0.878 0.583
7 Hg 0.500 0.748 0.870
8 Cd 0.000 0.478 0.362
9 Hg 0.500 0.287 0.741
10 Bi 0.000 0.122 0.417
11 Hg 0.500 0.713 0.259

Record 6
Entry from the Alexandria database: an optimized crystal structure of NaLuAlHg (PBE-GGA).

Lattice parameters (Å, degrees): 5.077 5.077 5.077 60.00 60.00 60.00
Atoms (fractional coordinates):
1 Lu 0.500 0.500 0.500
2 Hg 0.750 0.750 0.750
3 Na 0.000 0.000 0.000
4 Al 0.250 0.250 0.250

Calculated M_tot (μB per formula unit), listed in the same order as above: 0.0, 0.0, 0.0, 0.0, 0.0, 0.0
Calculated ΔH_f (0 K) (eV per formula unit), listed in the same order as above: 1.87, 0.23, 7.86, -0.16, 0.50, -0.57